(1)
K2PrZrP3O12 | PBEsol | relaxed

Cell and atoms, written as extended XYZ:
```
76
Lattice="-9.088 2.018 -4.899 1.503 -8.346 -6.225 -5.081 -6.078 6.922" Properties=species:S:1:pos:R:3 pbc="T T T"
O -10.440 -6.069 2.767
O -0.078 -8.404 -3.941
O -9.084 -10.273 -4.676
O -3.697 -0.189 -0.894
O -7.504 -0.380 -2.824
O -7.738 -7.544 3.243
O -9.734 -2.707 -5.021
O -1.047 -6.268 -4.903
O -6.925 -3.662 -0.411
O -4.745 -4.593 -4.233
O -5.629 -7.917 1.889
O -7.364 -11.433 -2.018
O -7.796 -9.073 -1.194
O -12.758 -10.693 -2.872
O -3.116 -6.244 -2.792
O -5.405 -5.149 0.875
O -7.577 -0.269 -5.355
O -6.561 -3.377 -5.453
O -3.737 -7.359 -5.458
O -7.374 -8.427 -4.375
O -7.465 -6.112 -0.288
O -1.670 -3.072 1.508
O -10.709 -12.643 -3.293
O -3.336 -4.959 -6.695
O -3.767 -6.864 -0.476
O -2.923 -8.278 1.862
O -2.897 -9.702 -4.978
O -2.019 -3.757 -4.459
O -6.072 -0.937 -0.567
O -0.691 -2.672 -2.624
O -9.165 -8.193 -6.156
O -5.036 -7.879 -2.391
O -7.138 -5.245 -3.835
O -11.351 -7.682 -1.074
O -6.286 -4.983 4.672
O -8.838 -1.550 -0.175
O -9.589 -6.751 -2.644
O -8.835 -4.195 -7.605
O -6.205 -3.031 -2.967
O -3.147 -11.697 -2.600
O -9.754 -10.559 -1.811
O -4.225 -5.865 3.489
O -7.725 -4.629 1.754
O -2.643 -8.574 -1.917
O -9.127 -2.837 -2.565
O -11.166 -8.557 -3.466
O -2.314 -5.499 1.574
O -11.593 -11.005 -5.465
P -6.554 -8.483 3.008
P -4.821 -4.699 4.333
P -8.307 -10.515 -1.234
P -3.650 -7.422 -1.924
P -8.258 -9.159 -5.386
P -6.205 -4.066 -4.133
P -10.241 -2.483 -3.595
P -6.871 0.251 -4.101
P -11.001 -7.327 -2.523
P -3.305 -8.722 -6.080
P -6.901 -4.924 0.499
P 0.116 -6.892 -4.073
K -10.576 -4.163 -0.368
K -0.950 -0.930 -0.315
K -5.394 -10.358 -3.860
K -6.036 -6.519 -7.098
K -9.703 -5.516 -5.169
K -3.913 -3.833 -1.298
K -4.808 -10.299 0.362
K -9.287 -8.009 0.941
Pr -8.450 -5.390 3.854
Pr -7.283 -7.134 -2.416
Pr -1.451 -10.152 -3.183
Pr -8.149 -2.137 -6.658
Zr -2.994 -5.549 -4.750
Zr -7.448 -2.066 -1.606
Zr -10.829 -10.607 -3.592
Zr -4.062 -6.590 1.545
```

Energy: -7.83 eV/atom
Total magnetization: 0.0 μB/f.u.
Theoretical density: 3.40 g/cm³

---

(2)
ScTl2Br | PBEsol | relaxed

Cell and atoms, written as extended XYZ:
```
4
Lattice="5.309 0.000 0.000 2.655 4.598 0.000 2.655 1.533 4.335" Properties=species:S:1:pos:R:3 pbc="T T T"
Br 0.000 0.000 0.000
Tl 7.964 4.598 3.251
Tl 2.655 1.533 1.084
Sc 5.309 3.065 2.167
```

Energy: -3.39 eV/atom
Total magnetization: 0.0 μB/f.u.
Theoretical density: 8.37 g/cm³

---

(3)
Li3CrO4 | PBEsol | relaxed

Cell and atoms, written as extended XYZ:
```
16
Lattice="4.909 0.000 0.000 0.000 5.394 0.000 0.000 0.000 6.257" Properties=species:S:1:pos:R:3 pbc="T T T"
Cr 0.006 0.920 3.129
Cr 2.460 4.474 0.000
Li 2.503 1.786 4.710
Li 0.049 3.609 4.675
Li 2.503 1.786 1.547
Li 0.053 0.885 0.000
Li 0.049 3.609 1.582
Li 2.507 4.509 3.129
O 0.538 1.724 1.724
O 0.760 4.455 0.000
O 2.986 0.699 0.000
O 3.214 0.939 3.129
O 2.993 3.670 4.852
O 0.531 4.695 3.129
O 0.538 1.724 4.533
O 2.993 3.670 1.405
```

Energy: -6.69 eV/atom
Total magnetization: 1.0 μB/f.u.
Theoretical density: 2.74 g/cm³

---

(4)
Sm3Ge2Rh2 | PBEsol | relaxed

Cell and atoms, written as extended XYZ:
```
28
Lattice="-1.281 4.599 -2.898 -3.614 -4.408 -5.399 -11.337 1.073 6.714" Properties=species:S:1:pos:R:3 pbc="T T T"
Sm -11.664 -0.800 -0.047
Sm -4.568 2.064 -1.536
Sm -6.145 -0.642 0.147
Sm -13.497 2.229 0.289
Sm -10.088 1.906 -1.730
Sm -6.030 -1.378 -3.455
Sm -7.368 0.835 3.033
Sm -2.736 -0.965 -1.872
Sm -5.455 0.106 -6.635
Sm -10.777 1.157 5.052
Sm -10.202 2.642 1.872
Sm -8.864 0.429 -4.616
Ge -12.832 0.838 -2.281
Ge -3.152 -1.722 -5.047
Ge -3.400 0.426 0.698
Ge -7.412 2.449 0.107
Ge -8.820 -1.186 -1.690
Ge -6.136 1.556 -4.102
Ge -10.097 -0.292 2.519
Ge -1.743 1.913 -3.249
Rh -12.446 0.677 2.522
Rh -5.256 1.996 1.438
Rh -8.853 0.337 0.394
Rh -10.976 -0.732 -3.020
Rh -1.663 1.656 -0.690
Rh -7.380 0.927 -1.977
Rh -3.786 0.587 -4.105
Rh -14.569 -0.392 -0.893
```

DFT formation energy: -898.2 meV/atom
Total magnetization: 0.0 μB/f.u.
Theoretical density: 9.19 g/cm³